1.
First-principles (GGA-PBE) data for a geometry-optimized SrHfCu2 structure, as listed in the Alexandria database.

Geometry as POSCAR:
```
SrHfCu2
1.0
3.412 0.000 0.000
0.000 3.412 0.000
0.000 0.000 7.215
Sr Cu Hf
1 2 1
direct
0.500 0.500 0.500
0.000 0.000 0.186
0.000 0.000 0.814
0.500 0.500 0.000
```

Values from the calculation:
Its relative energy among the computed polymorphs is 0.000 eV/atom. As for the formation enthalpy at 0 K: 0.00 eV/atom. As for the size of the total moment: 0.00 μB per formula unit. As for the space group: No. 123.



2.
First-principles (GGA-PBE) data for a geometry-optimized Cd2CoHg structure, as listed in the Alexandria database.

Geometry as POSCAR:
```
Cd2CoHg
1.0
2.964 0.000 0.000
0.000 3.027 0.342
0.000 3.916 9.305
Cd Hg Co
2 1 1
direct
0.000 0.431 0.448
0.000 0.069 0.052
0.500 0.750 0.750
0.500 0.250 0.250
```

Values from the calculation:
As for the formation enthalpy at 0 K: 0.23 eV/atom. As for the size of the total moment: 1.15 μB per formula unit. As for the space group: No. 10.



3.
First-principles (GGA-PBE) data for a geometry-optimized SnSbP structure, as listed in the Alexandria database.

Geometry as POSCAR:
```
SnSbP
1.0
4.291 0.000 -0.007
0.004 6.292 0.008
2.126 2.095 6.205
P Sb Sn
2 2 2
direct
0.547 0.133 0.017
0.522 0.459 0.065
0.747 0.116 0.612
0.953 0.907 0.213
0.315 0.453 0.472
0.127 0.696 0.852
```

Values from the calculation:
Its relative energy among the computed polymorphs is 0.002 eV/atom. The formation energy without anion corrections is 6 kJ/mol of atoms. As for the size of the total moment: 0.00 μB per formula unit. As for the space group: No. 1.



4.
First-principles (GGA-PBE) data for a geometry-optimized DyCdIn2 structure, as listed in the Alexandria database.

Geometry as POSCAR:
```
DyCdIn2
1.0
4.776 0.000 0.000
2.388 4.136 0.000
2.388 1.379 5.219
In Cd Dy
2 1 1
direct
0.233 0.233 0.300
0.767 0.767 0.700
0.500 0.500 0.500
0.000 0.000 0.000
```

Values from the calculation:
Its relative energy among the computed polymorphs is 0.179 eV/atom. As for the formation enthalpy at 0 K: -0.21 eV/atom. As for the size of the total moment: 0.00 μB per formula unit. As for the space group: No. 166.



Please write out number 3 again, unchanged.
First-principles (GGA-PBE) data for a geometry-optimized SnSbP structure, as listed in the Alexandria database.

Geometry as POSCAR:
```
SnSbP
1.0
4.291 0.000 -0.007
0.004 6.292 0.008
2.126 2.095 6.205
P Sb Sn
2 2 2
direct
0.547 0.133 0.017
0.522 0.459 0.065
0.747 0.116 0.612
0.953 0.907 0.213
0.315 0.453 0.472
0.127 0.696 0.852
```

Values from the calculation:
Its relative energy among the computed polymorphs is 0.002 eV/atom. The formation energy without anion corrections is 6 kJ/mol of atoms. As for the size of the total moment: 0.00 μB per formula unit. As for the space group: No. 1.



> Which of these has the highest size of the total moment?

Cd2CoHg